1.
A geometry-optimized LiMnW2 structure, computed with PBEsol.

Crystal system   tetragonal
ΔH_f (0 K)   484.4 meV/atom
Calculated volume   51.9 Å³ per cell

The structure in POSCAR format:
```
LiMnW2
1.0
-4.0642 -0.3152 -0.0471
2.0650 -0.8042 3.6272
-0.2456 2.7137 3.0324
Li Mn W
1 1 2
direct
0.5000 0.0000 0.5000
0.0000 0.0000 0.0000
0.2500 0.5000 0.2500
0.7500 0.5000 0.7500
```


2.
A geometry-optimized Cd2InAg structure, computed with PBEsol.

Crystal system   trigonal
ΔH_f (0 K)   12.5 meV/atom
Calculated volume   82.2 Å³ per cell

The structure in POSCAR format:
```
Cd2InAg
1.0
3.1082 0.0000 0.0000
1.5541 2.6918 0.0000
1.5541 0.8973 9.8246
In Ag Cd
1 1 2
direct
0.5000 0.5000 0.5000
0.0000 0.0000 0.0000
0.2569 0.2569 0.2294
0.7431 0.7431 0.7706
```


3.
A geometry-optimized Sc2MoH structure, computed with PBEsol.

Crystal system   cubic
DFT total energy   -25.97 eV/cell
Calculated volume   63.7 Å³ per cell

The structure in POSCAR format:
```
Sc2MoH
1.0
4.4818 0.0000 0.0000
2.2409 3.8814 0.0000
2.2409 1.2938 3.6594
Sc H Mo
2 1 1
direct
0.2500 0.2500 0.2500
0.7500 0.7500 0.7500
0.0000 0.0000 0.0000
0.5000 0.5000 0.5000
```


4.
A geometry-optimized RbReTc2As structure, computed with PBEsol.

Crystal system   tetragonal
ΔH_f (0 K)   2273.8 meV/atom
Calculated volume   112.5 Å³ per cell

The structure in POSCAR format:
```
RbReTc2As
1.0
-0.4787 -0.2729 4.5418
3.8384 -2.4764 0.2558
2.8694 4.5069 0.5733
Re As Tc Rb
1 1 2 1
direct
0.5000 0.5000 0.5000
0.0000 0.0000 0.0000
0.0000 0.5000 0.0000
0.5000 0.0000 0.0000
0.0000 0.0000 0.5000
```


5.
A geometry-optimized Ca2CeO4 structure, computed with PBEsol.

Crystal system   orthorhombic
E_form (uncorrected)   -300.6 kJ/mol of atoms
Calculated volume   423.3 Å³ per cell

The structure in POSCAR format:
```
Ca2CeO4
1.0
5.9269 0.0000 0.0000
0.0000 6.0738 0.0000
0.0000 0.0000 11.7600
Ca Ce O
8 4 16
direct
0.0157 0.0585 0.3406
0.0157 0.4415 0.8406
0.4843 0.5585 0.3406
0.4843 0.9415 0.8406
0.5157 0.0585 0.1594
0.5157 0.4415 0.6594
0.9843 0.5585 0.1594
0.9843 0.9415 0.6594
0.0000 0.0000 0.0000
0.0000 0.5000 0.5000
0.5000 0.5000 0.0000
0.5000 0.0000 0.5000
0.1219 0.4330 0.3257
0.1219 0.0670 0.8257
0.1808 0.3175 0.0440
0.1808 0.1825 0.5440
0.3192 0.8175 0.0440
0.3192 0.6825 0.5440
0.3781 0.5670 0.8257
0.3781 0.9330 0.3257
0.6219 0.4330 0.1743
0.6219 0.0670 0.6743
0.6808 0.3175 0.4560
0.6808 0.1825 0.9560
0.8192 0.8175 0.4560
0.8192 0.6825 0.9560
0.8781 0.9330 0.1743
0.8781 0.5670 0.6743
```


6.
A geometry-optimized Tm5SbPd2 structure, computed with PBEsol.

Crystal system   tetragonal
E_form (uncorrected)   -77.0 kJ/mol of atoms
Calculated volume   376.8 Å³ per cell

The structure in POSCAR format:
```
Tm5SbPd2
1.0
7.5260 0.0000 0.0000
-3.7630 7.6431 0.0339
0.0000 3.6762 6.5670
Tm Sb Pd
10 2 4
direct
0.0000 0.0000 0.0000
0.5000 0.0000 0.5000
0.7991 0.2857 0.0134
0.2009 0.7143 0.9866
0.4866 0.2857 0.7009
0.2991 0.2857 0.2009
0.0134 0.7143 0.4866
0.5134 0.7143 0.2991
0.7009 0.7143 0.7991
0.9866 0.2857 0.5134
0.2500 0.5000 0.7500
0.7500 0.5000 0.2500
0.1362 0.0000 0.6362
0.8638 0.0000 0.3638
0.6362 0.0000 0.8638
0.3638 0.0000 0.1362
```


7.
A geometry-optimized InReAg4 structure, computed with PBEsol.

Crystal system   cubic
ΔH_f (0 K)   723.9 meV/atom
Calculated volume   103.7 Å³ per cell

The structure in POSCAR format:
```
InReAg4
1.0
5.2737 0.0000 0.0000
2.6369 4.5672 0.0000
2.6369 1.5224 4.3060
Ag In Re
4 1 1
direct
0.3747 0.3747 0.3747
0.3747 0.3747 0.8759
0.8759 0.3747 0.3747
0.3747 0.8759 0.3747
0.7500 0.7500 0.7500
0.0000 0.0000 0.0000
```


8.
A geometry-optimized Ca3SbI3 structure, computed with PBEsol.

Crystal system   cubic
E_form (uncorrected)   -138.7 kJ/mol of atoms
Calculated volume   998.5 Å³ per cell

The structure in POSCAR format:
```
Ca3SbI3
1.0
10.9059 0.0000 0.0000
-3.6353 10.2822 0.0000
-3.6353 -5.1411 8.9046
Ca Sb I
12 4 12
direct
0.5153 0.7577 0.0077
0.2500 0.5077 0.4923
0.2500 0.7423 0.2577
0.7577 0.2500 0.2423
0.7423 0.9847 0.4923
0.9847 0.9923 0.2423
0.9923 0.2500 0.0077
0.5077 0.5153 0.2577
0.5077 0.9923 0.7500
0.9923 0.7423 0.4847
0.7423 0.7577 0.7500
0.7577 0.5077 0.0153
0.7500 0.0000 0.0000
0.5000 0.7500 0.5000
0.0000 0.5000 0.2500
0.7500 0.7500 0.2500
0.7500 0.4970 0.5030
0.4940 0.2470 0.9970
0.0060 0.0030 0.7530
0.2530 0.0060 0.5030
0.0030 0.7500 0.9970
0.7500 0.2530 0.7470
0.2470 0.7500 0.7530
0.4970 0.4940 0.7470
0.2470 0.4970 0.9940
0.2530 0.2470 0.2500
0.0030 0.2530 0.5060
0.4970 0.0030 0.2500
```